DFT (PBE) results for crystalline Sn2BiBr at its relaxed geometry.

```
data_Sn2BiBr
_space_group_name_H-M_alt 'R -3 m'
_space_group_IT_number 166
_space_group_name_Hall '-R 3 2"'
_cell_length_a 4.5997
_cell_length_b 4.5997
_cell_length_c 21.9233
_cell_angle_alpha 90.00
_cell_angle_beta 90.00
_cell_angle_gamma 120.00
loop_
_atom_site_label
_atom_site_fract_x
_atom_site_fract_y
_atom_site_fract_z
Sn1 0.0000 0.0000 0.2441
Bi1 0.0000 0.0000 0.5000
Br1 0.0000 0.0000 0.0000
```

## Properties
Calculated total energy = -3.545 eV/atom
Total magnetic moment = 0.0 μB per formula unit
Raw formation energy = -0.155 eV per atom